--- 1 ---
LaHgAs | PBE-GGA | optimized geometry

extended XYZ file:
```
3
Lattice="5.010 0.000 0.000 2.505 4.339 0.000 2.505 1.446 4.091" Properties=species:S:1:pos:R:3 pbc="T T T"
As 7.515 4.339 3.068
Hg 0.000 0.000 0.000
La 5.010 2.893 2.045
```

Results
Mass density (g/cm³): 7.738
Density of states at the Fermi level (states/eV/f.u.): 3.9
Space group: F-43m, No. 216

***

--- 2 ---
LaHgAs | PBE-GGA | optimized geometry

extended XYZ file:
```
6
Lattice="5.047 0.000 0.000 2.524 4.371 0.000 2.524 1.457 8.633" Properties=species:S:1:pos:R:3 pbc="T T T"
As 2.524 1.457 1.257
As 7.571 4.371 7.376
Hg 2.524 1.457 4.118
Hg 7.571 4.371 4.516
La 5.047 2.914 6.953
La 5.047 2.914 1.681
```

Results
Mass density (g/cm³): 7.225
Density of states at the Fermi level (states/eV/f.u.): 1.3
Space group: R-3m, No. 166

***

What are the relative energies? In meV/atom: 1 172; 2 0.

***

--- 1 ---
LaHgAs | PBE-GGA | optimized geometry

extended XYZ file:
```
3
Lattice="-3.839 2.351 -0.040 1.623 -1.725 -3.828 -2.489 -4.051 0.770" Properties=species:S:1:pos:R:3 pbc="T T T"
As -0.037 -0.059 0.011
Hg -2.747 -0.193 -1.078
La -1.922 -3.172 -2.033
```

Results
Mass density (g/cm³): 8.140
Space group: P3m1, No. 156

***

--- 2 ---
LaHgAs | PBE-GGA | optimized geometry

extended XYZ file:
```
3
Lattice="-3.672 3.468 -0.787 -3.961 -1.115 -3.031 -4.645 -0.694 2.016" Properties=species:S:1:pos:R:3 pbc="T T T"
As 0.000 0.000 0.000
Hg -6.139 0.829 -0.901
La -9.208 1.244 -1.351
```

Results
Mass density (g/cm³): 7.289
Space group: F-43m, No. 216

***

--- 3 ---
LaHgAs | PBE-GGA | optimized geometry

extended XYZ file:
```
3
Lattice="5.602 -0.067 0.078 4.139 3.776 0.057 1.463 0.577 3.799" Properties=species:S:1:pos:R:3 pbc="T T T"
As 1.603 0.630 3.738
Hg 4.214 1.618 2.581
La 6.850 2.616 1.415
```

Results
Mass density (g/cm³): 8.498
Density of states at the Fermi level (states/eV/f.u.): 0.7
Space group: I4mm, No. 107

***

What are the relative energies? In meV/atom: 1 0; 2 137; 3 126.

***

--- 1 ---
Li2Hg2As | PBE-GGA | optimized geometry

extended XYZ file:
```
10
Lattice="7.793 0.000 0.000 0.000 7.793 0.000 0.000 0.000 3.197" Properties=species:S:1:pos:R:3 pbc="T T T"
As 0.000 0.000 0.000
As 3.897 3.897 0.000
Hg 2.843 6.740 0.000
Hg 6.740 4.950 0.000
Hg 4.950 1.053 0.000
Hg 1.053 2.843 0.000
Li 1.279 5.176 1.598
Li 5.176 6.514 1.598
Li 6.514 2.618 1.598
Li 2.618 1.279 1.598
```

Results
Mass density (g/cm³): 8.381
Density of states at the Fermi level (states/eV/f.u.): 1.3
Space group: P4/mbm, No. 127

***

--- 2 ---
Li2Hg2As | PBE-GGA | optimized geometry

extended XYZ file:
```
10
Lattice="-2.746 3.141 -1.549 -4.453 -3.120 1.568 0.115 3.701 7.297" Properties=species:S:1:pos:R:3 pbc="T T T"
Li -1.491 1.792 3.079
Li -4.236 1.872 1.714
Li -2.848 1.850 5.602
Li -5.593 1.930 4.237
Hg -3.415 4.865 6.327
Hg -5.004 0.520 6.726
Hg -3.669 -1.143 0.989
Hg -2.079 3.202 0.590
As -3.308 3.692 3.761
As -3.776 0.030 3.555
```

Results
Mass density (g/cm³): 7.897
Density of states at the Fermi level (states/eV/f.u.): 1.5
Space group: P2_1/m, No. 11

***

What are the relative energies? In meV/atom: 1 102; 2 0.

***

--- 1 ---
Li4HgAs | PBE-GGA | optimized geometry

extended XYZ file:
```
6
Lattice="0.000 3.735 3.735 3.735 0.000 3.735 3.735 3.735 0.000" Properties=species:S:1:pos:R:3 pbc="T T T"
Li 2.806 4.663 4.663
Li 4.663 4.663 2.806
Li 4.663 2.806 4.663
Li 2.806 2.806 2.806
Hg 0.000 0.000 0.000
As 5.602 5.602 5.602
```

Results
Mass density (g/cm³): 4.834
Density of states at the Fermi level (states/eV/f.u.): 2.1
Space group: F-43m, No. 216

***

--- 2 ---
Li4HgAs | PBE-GGA | optimized geometry

extended XYZ file:
```
6
Lattice="4.408 -0.001 0.001 -0.002 4.408 0.002 0.007 0.011 6.368" Properties=species:S:1:pos:R:3 pbc="T T T"
Li 2.211 4.396 1.846
Li 2.211 4.404 4.504
Li 0.011 2.198 4.502
Li 0.006 2.198 1.844
Hg 2.216 2.201 6.359
As 0.007 4.402 3.175
```

Results
Mass density (g/cm³): 4.070
Density of states at the Fermi level (states/eV/f.u.): 3.3
Space group: C2/m, No. 12

***

What are the relative energies? In meV/atom: 1 251; 2 0.

***

--- 1 ---
RbLi2HgAs | PBE-GGA | optimized geometry

extended XYZ file:
```
5
Lattice="-4.040 -2.707 -1.290 -1.264 -0.425 4.852 -3.641 5.650 -0.454" Properties=species:S:1:pos:R:3 pbc="T T T"
As 0.000 0.000 0.000
Hg -4.473 1.259 1.554
Rb -1.820 2.825 -0.227
Li -0.632 -0.212 2.426
Li -2.020 -1.354 -0.645
```

Results
Mass density (g/cm³): 3.650
Density of states at the Fermi level (states/eV/f.u.): 0.4
Space group: P4/mmm, No. 123

***

--- 2 ---
RbLi2HgAs | PBE-GGA | optimized geometry

extended XYZ file:
```
5
Lattice="5.025 0.000 0.000 0.000 5.025 0.000 0.000 0.000 5.812" Properties=species:S:1:pos:R:3 pbc="T T T"
As 0.000 0.000 0.000
Hg 0.000 0.000 2.906
Rb 2.512 2.512 2.906
Li 0.000 2.512 0.000
Li 2.512 0.000 0.000
```

Results
Mass density (g/cm³): 4.241
Density of states at the Fermi level (states/eV/f.u.): 1.3
Space group: P4/mmm, No. 123

***

What are the relative energies? In meV/atom: 1 0; 2 25.

***

--- 1 ---
MgHgAs2 | PBE-GGA | optimized geometry

extended XYZ file:
```
4
Lattice="-1.149 5.447 -0.461 -4.132 3.718 0.553 1.093 0.916 4.778" Properties=species:S:1:pos:R:3 pbc="T T T"
As 0.055 0.116 0.361
As -2.150 4.924 2.075
Hg -3.142 7.560 3.653
Mg -1.047 2.520 1.218
```

Results
Mass density (g/cm³): 6.576
Density of states at the Fermi level (states/eV/f.u.): 0.8
Space group: C2/m, No. 12

***

--- 2 ---
MgHgAs2 | PBE-GGA | optimized geometry

extended XYZ file:
```
4
Lattice="2.773 -0.852 3.982 -0.923 2.398 4.203 -1.896 -2.418 3.850" Properties=species:S:1:pos:R:3 pbc="T T T"
Mg 0.000 0.000 0.000
As -0.011 -0.218 3.009
As -0.034 -0.654 9.026
Hg -0.023 -0.436 6.018
```

Results
Mass density (g/cm³): 7.361
Density of states at the Fermi level (states/eV/f.u.): 3.5
Space group: Fm-3m, No. 225

***

--- 3 ---
MgHgAs2 | PBE-GGA | optimized geometry

extended XYZ file:
```
4
Lattice="-0.932 -4.630 -3.411 4.431 -2.674 -2.675 -1.427 1.914 5.313" Properties=species:S:1:pos:R:3 pbc="T T T"
As 0.000 0.000 0.000
As 2.376 -2.206 -0.202
Hg 1.749 -3.652 -3.043
Mg -0.305 -3.184 -0.570
```

Results
Mass density (g/cm³): 7.419
Density of states at the Fermi level (states/eV/f.u.): 1.9
Space group: I-4m2, No. 119

***

What are the relative energies? In meV/atom: 1 0; 2 249; 3 145.